# Rb2AgPtBr6 (GGA-PBE, relaxed)
data_Rb2AgPtBr6
_chemical_formula_sum 'Rb8 Ag4 Pt4 Br24'
_cell_length_a 15.2050
_cell_length_b 13.6529
_cell_length_c 7.6291
_cell_angle_alpha 90.00
_cell_angle_beta 104.93
_cell_angle_gamma 90.00
_space_group_name_H-M_alt 'C 1 2/c 1'
_space_group_IT_number 15
loop_
_space_group_symop_operation_xyz
'x,y,z'
'-x,-y,-z'
'-x,y,-z+1/2'
'x,-y,z+1/2'
'x+1/2,y+1/2,z'
'-x+1/2,-y+1/2,-z'
'-x+1/2,y+1/2,-z+1/2'
'x+1/2,-y+1/2,z+1/2'
loop_
_atom_site_label
_atom_site_type_symbol
_atom_site_fract_x
_atom_site_fract_y
_atom_site_fract_z
_atom_site_occupancy
Rb1 Rb 0.2042 0.1164 0.2926 1
Ag1 Ag 0.0000 0.2229 0.7500 1
Pt1 Pt 0.0000 0.3589 0.2500 1
Br1 Br 0.0525 0.3720 0.5763 1
Br2 Br 0.1012 0.0975 0.6412 1
Br3 Br 0.1602 0.3608 0.2303 1
# V in Å³/atom: 38.26
# E in eV per atom: -2.8767